The following is a PBE calculation of a relaxed structure of CoRh2Cl, from the Alexandria database.

Formation energy without anion corrections (eV/atom): 0.544
Total moment (μB per formula unit): 2.569
Space-group type: P2/m
Distance to the lowest polymorph of the same formula (meV/atom): 296.2

a b c (Å): 4.354 2.873 4.644
angles (deg): 89.99 90.00 90.00
Positions (direct):
Rh (0.000, 0.999, 0.994)
Rh (0.000, 0.501, 0.506)
Cl (0.500, 0.250, 0.250)
Co (0.500, 0.750, 0.750)